A geometry-optimized CdIn2Ag structure. Source: the Alexandria database, functional GGA-PBE.

Its formation energy from the elements is 34 meV per atom. The density of states at the Fermi level is 0.34 states/eV per atom. For the spin magnetization, the calculation gives 0.00 μB/f.u.

The space group is Pmm2 (No. 25) and the conventional cell measures 3.172, 4.429 and 6.519 Å, with angles of 90.00, 90.00 and 90.00 degrees. The asymmetric unit holds Cd at (0.000, 0.000, 0.000), In at (0.000, 0.000, 0.536), In at (0.500, 0.500, 0.256) and Ag at (0.500, 0.500, 0.773).

=====

A geometry-optimized LuMnIrAu structure. Source: the Alexandria database, functional GGA-PBE.

Its formation energy from the elements is -423 meV per atom. The density of states at the Fermi level is 0.49 states/eV per atom. For the spin magnetization, the calculation gives 4.52 μB/f.u.

The space group is F-43m (No. 216) and the conventional cell measures 6.602, 6.602 and 6.602 Å, with angles of 90.00, 90.00 and 90.00 degrees. The asymmetric unit holds Lu at (0.000, 0.000, 0.000), Mn at (0.000, 0.000, 0.500), Ir at (0.250, 0.250, 0.250) and Au at (0.250, 0.250, 0.750).

=====

A geometry-optimized Li4In3Bi4 structure. Source: the Alexandria database, functional GGA-PBE.

Its formation energy from the elements is -209 meV per atom. The density of states at the Fermi level is 0.16 states/eV per atom. For the spin magnetization, the calculation gives 0.00 μB/f.u.

The space group is Immm (No. 71) and the conventional cell measures 3.577, 9.441 and 16.850 Å, with angles of 90.00, 90.00 and 90.00 degrees. The asymmetric unit holds Li at (0.000, 0.243, 0.174), In at (0.000, 0.000, 0.382), In at (0.000, 0.500, 0.500), Bi at (0.000, 0.285, 0.000) and Bi at (0.000, 0.500, 0.289).

=====

A geometry-optimized CuNiRu structure. Source: the Alexandria database, functional GGA-PBE.

The value obtained for the energy above the lowest structure with this stoichiometry is 0 meV per atom. Its formation energy from the elements is 133 meV per atom. The density of states at the Fermi level is 0.90 states/eV per atom. For the spin magnetization, the calculation gives 0.00 μB/f.u.

The space group is C2/m (No. 12) and the conventional cell measures 8.268, 3.642 and 5.199 Å, with angles of 90.00, 108.44 and 90.00 degrees. The asymmetric unit holds Cu at (0.165, 0.000, 0.069), Ni at (0.002, 0.500, 0.249) and Ru at (0.163, 0.000, 0.565).

=====

A geometry-optimized SrMn2Br structure. Source: the Alexandria database, functional GGA-PBE.

The value obtained for the energy above the lowest structure with this stoichiometry is 487 meV per atom. The uncorrected formation energy is 1.97 eV per formula unit. The density of states at the Fermi level is 1.08 states/eV per atom. For the spin magnetization, the calculation gives 8.98 μB/f.u.

The space group is R-3m (No. 166, hexagonal axes) and the conventional cell measures 3.6747, 3.6747 and 28.0847 Å, with angles of 90.00, 90.00 and 120.00 degrees. The asymmetric unit holds Sr at (0.0000, 0.0000, 0.0000), Mn at (0.0000, 0.0000, 0.2383) and Br at (0.0000, 0.0000, 0.5000).

=====

A geometry-optimized Ba2Ag3PbO6 structure. Source: the Alexandria database, functional GGA-PBE.

The uncorrected formation energy is -12.41 eV per formula unit. The density of states at the Fermi level is 0.78 states/eV per atom. For the spin magnetization, the calculation gives 0.42 μB/f.u.

The space group is P4/mmm (No. 123) and the conventional cell measures 4.164, 4.164 and 12.742 Å, with angles of 90.00, 90.00 and 90.00 degrees. The asymmetric unit holds Ba at (0.000, 0.000, 0.206), Ag at (0.500, 0.500, 0.000), Ag at (0.500, 0.500, 0.365), Pb at (0.000, 0.000, 0.500), O at (0.000, 0.500, 0.363) and O at (0.500, 0.500, 0.159).

=====

A geometry-optimized ZrRhSe2 structure. Source: the Alexandria database, functional GGA-PBE.

The value obtained for the energy above the lowest structure with this stoichiometry is 299 meV per atom. The uncorrected formation energy is -2.26 eV per formula unit. The density of states at the Fermi level is 0.86 states/eV per atom. For the spin magnetization, the calculation gives 0.00 μB/f.u.

The space group is I-42d (No. 122) and the conventional cell measures 4.734, 4.734 and 15.429 Å, with angles of 90.00, 90.00 and 90.00 degrees. The asymmetric unit holds Zr at (0.000, 0.000, 0.000), Rh at (0.000, 0.000, 0.500) and Se at (0.224, 0.250, 0.625).

=====

A geometry-optimized ZrAuO2 structure. Source: the Alexandria database, functional GGA-PBE.

The uncorrected formation energy is -7.03 eV per formula unit. The density of states at the Fermi level is 0.09 states/eV per atom. For the spin magnetization, the calculation gives 0.00 μB/f.u.

The space group is I-42d (No. 122) and the conventional cell measures 5.922, 5.922 and 9.363 Å, with angles of 90.00, 90.00 and 90.00 degrees. The asymmetric unit holds Zr at (0.000, 0.000, 0.000), Au at (0.000, 0.000, 0.500) and O at (0.102, 0.250, 0.125).

=====

A geometry-optimized HgGePdPt2 structure. Source: the Alexandria database, functional GGA-PBE.

Its formation energy from the elements is 1220 meV per atom. The density of states at the Fermi level is 1.12 states/eV per atom. For the spin magnetization, the calculation gives 0.00 μB/f.u.

The space group is P4/mmm (No. 123) and the conventional cell measures 5.037, 5.037 and 4.983 Å, with angles of 90.00, 90.00 and 90.00 degrees. The asymmetric unit holds Hg at (0.000, 0.000, 0.000), Ge at (0.500, 0.500, 0.500), Pd at (0.000, 0.000, 0.500) and Pt at (0.000, 0.500, 0.000).